1.
First-principles (PBE) data for a relaxed Sr3ReI crystal, as listed in Alexandria.

Computed properties:
The energy comes out at -3.48 eV/atom. As for the space group: Pm-3m (221). As for the calculated density: 4.8 g cm⁻³. As for the volume: 199.0 Å³ per cell. The value obtained for the uncorrected formation energy is 0.33 eV per atom. The calculation puts the density of states at the Fermi level at 0.34 states/eV/atom.

Unit cell a=5.8378 b=5.8378 c=5.8378 alpha=90.00 beta=90.00 gamma=90.00
Last column: nearest neighbours and their distance in Å.
Positions (direct):
1 Sr 0.0000 0.0000 0.5000  2 Re 2.92
2 Sr 0.0000 0.5000 0.0000  2 Re 2.92
3 Sr 0.5000 0.0000 0.0000  2 Re 2.92
4 Re 0.0000 0.0000 0.0000  6 Sr 2.92
5 I 0.5000 0.5000 0.5000  12 Sr 4.13



2.
First-principles (PBE) data for a relaxed LiPmNd2Tl4 crystal, as listed in Alexandria.

Computed properties:
The energy comes out at -3.56 eV/atom. As for the space group: R-3m (166). As for the calculated density: 9.3 g cm⁻³. As for the volume: 225.1 Å³ per cell. The value obtained for the energy of formation from the pure elements is -0.355 eV/atom. The calculation puts the density of states at the Fermi level at 0.61 states/eV/atom.

Unit cell a=9.5996 b=9.5996 c=9.5996 alpha=32.35 beta=32.35 gamma=32.35
Last column: nearest neighbours and their distance in Å.
Positions (direct):
1 Li 0.0000 0.0000 0.0000  8 Tl 3.28-3.38
2 Pm 0.5000 0.5000 0.5000  8 Tl 3.30-3.45
3 Nd 0.2563 0.2563 0.2563  7 Tl 3.20-3.34
4 Nd 0.7437 0.7437 0.7437  7 Tl 3.20-3.34
5 Tl 0.1239 0.1239 0.1239  3 Pm 3.30, 4 Nd 3.34-3.61, 1 Li 3.38
6 Tl 0.3736 0.3736 0.3736  4 Nd 3.20-3.25, 3 Li 3.28, 1 Pm 3.45
7 Tl 0.6264 0.6264 0.6264  4 Nd 3.20-3.25, 3 Li 3.28, 1 Pm 3.45
8 Tl 0.8761 0.8761 0.8761  3 Pm 3.30, 4 Nd 3.34-3.61, 1 Li 3.38



3.
First-principles (PBE) data for a relaxed AlBS crystal, as listed in Alexandria.

Computed properties:
The energy comes out at -5.00 eV/atom. As for the space group: P-1 (2). As for the calculated density: 2.3 g cm⁻³. As for the volume: 102.0 Å³ per cell. The value obtained for the uncorrected formation energy is -0.15 eV per atom. The calculation puts the density of states at the Fermi level at 0.02 states/eV/atom.

Unit cell a=3.5511 b=3.6070 c=8.0796 alpha=82.99 beta=87.67 gamma=83.57
Last column: nearest neighbours and their distance in Å.
Positions (direct):
1 Al 0.2042 0.0512 0.3685  3 B 2.24-2.39, 2 S 2.40-2.44
2 Al 0.7958 0.9488 0.6315  3 B 2.24-2.39, 2 S 2.40-2.44
3 B 0.3287 0.5665 0.5664  1 B 1.66
4 B 0.6713 0.4335 0.4336  1 B 1.66
5 S 0.2556 0.2520 0.7692  1 B 1.90
6 S 0.7444 0.7480 0.2308  1 B 1.90



4.
First-principles (PBE) data for a relaxed CrPb2Se crystal, as listed in Alexandria.

Computed properties:
The energy comes out at -4.81 eV/atom. As for the space group: R-3m (166). As for the calculated density: 8.5 g cm⁻³. As for the volume: 107.0 Å³ per cell. The value obtained for the uncorrected formation energy is 0.32 eV per atom. The calculation puts the density of states at the Fermi level at 0.47 states/eV/atom.

Unit cell a=8.2509 b=8.2509 c=8.2509 alpha=27.67 beta=27.67 gamma=27.67
Last column: nearest neighbours and their distance in Å.
Positions (direct):
1 Cr 0.0000 0.0000 0.0000  6 Pb 3.02
2 Pb 0.2498 0.2498 0.2498  3 Se 3.02, 3 Cr 3.02
3 Pb 0.7502 0.7502 0.7502  3 Se 3.02, 3 Cr 3.02
4 Se 0.5000 0.5000 0.5000  6 Pb 3.02



5.
First-principles (PBE) data for a relaxed Ho2CoCl crystal, as listed in Alexandria.

Computed properties:
The energy comes out at -5.38 eV/atom. As for the space group: R-3m (166). As for the calculated density: 7.7 g cm⁻³. As for the volume: 91.4 Å³ per cell. The value obtained for the uncorrected formation energy is -0.85 eV per atom. The calculation puts the density of states at the Fermi level at 0.25 states/eV/atom.

Unit cell a=7.6577 b=7.6577 c=7.6577 alpha=28.67 beta=28.67 gamma=28.67
Last column: nearest neighbours and their distance in Å.
Positions (direct):
1 Ho 0.2328 0.2328 0.2328  3 Co 2.63
2 Ho 0.7672 0.7672 0.7672  3 Co 2.63
3 Co 0.5000 0.5000 0.5000  6 Ho 2.63
4 Cl 0.0000 0.0000 0.0000  6 Ho 3.11



6.
First-principles (PBE) data for a relaxed Rb2CdTcSb crystal, as listed in Alexandria.

Computed properties:
The energy comes out at -2.89 eV/atom. As for the space group: P4/mmm (123). As for the calculated density: 3.2 g cm⁻³. As for the volume: 258.0 Å³ per cell. The value obtained for the uncorrected formation energy is 0.57 eV per atom. The calculation puts the density of states at the Fermi level at 0.84 states/eV/atom.

Unit cell a=7.1041 b=7.1041 c=5.1114 alpha=90.00 beta=90.00 gamma=90.00
Last column: nearest neighbours and their distance in Å.
Positions (direct):
1 Rb 0.0000 0.5000 0.0000  2 Sb 3.55
2 Rb 0.5000 0.0000 0.0000  2 Sb 3.55
3 Cd 0.0000 0.0000 0.5000  8 Rb 4.38
4 Tc 0.5000 0.5000 0.5000  2 Sb 2.56
5 Sb 0.5000 0.5000 0.0000  2 Tc 2.56



7.
First-principles (PBE) data for a relaxed La2AlCl crystal, as listed in Alexandria.

Computed properties:
The energy comes out at -4.63 eV/atom. As for the space group: Imm2 (44). As for the calculated density: 4.8 g cm⁻³. As for the volume: 116.9 Å³ per cell. The value obtained for the uncorrected formation energy is -0.77 eV per atom. The calculation puts the density of states at the Fermi level at 0.79 states/eV/atom.

Unit cell a=8.4054 b=8.4054 c=8.4054 alpha=153.69 beta=153.58 gamma=37.63
Last column: nearest neighbours and their distance in Å.
Positions (direct):
1 La 0.0000 0.0000 0.0000  4 Cl 3.04, 2 Al 3.10
2 La 0.7396 0.2396 0.5000  2 Cl 3.10, 4 Al 3.21
3 Al 0.3474 0.8474 0.5000  6 La 3.10-3.21
4 Cl 0.5861 0.5861 0.0000  6 La 3.04-3.10



8.
First-principles (PBE) data for a relaxed BaCd2Ga2 crystal, as listed in Alexandria.

Computed properties:
The energy comes out at -2.05 eV/atom. As for the space group: P4/mbm (127). As for the calculated density: 6.5 g cm⁻³. As for the volume: 255.5 Å³ per cell. The value obtained for the energy of formation from the pure elements is -0.091 eV/atom. The calculation puts the density of states at the Fermi level at 0.48 states/eV/atom.

Unit cell a=8.7618 b=8.7618 c=3.3279 alpha=90.00 beta=90.00 gamma=90.00
Last column: nearest neighbours and their distance in Å.
Positions (direct):
1 Ba 0.0000 0.0000 0.0000  2 Ba 3.33, 4 Cd 3.48, 8 Ga 3.65
2 Ba 0.5000 0.5000 0.0000  2 Ba 3.33, 4 Cd 3.48, 8 Ga 3.65
3 Cd 0.1225 0.3775 0.0000  3 Cd 3.04-3.33, 6 Ga 3.05-3.10
4 Cd 0.3775 0.8775 0.0000  3 Cd 3.04-3.33, 6 Ga 3.05-3.10
5 Cd 0.6225 0.1225 0.0000  3 Cd 3.04-3.33, 6 Ga 3.05-3.10
6 Cd 0.8775 0.6225 0.0000  3 Cd 3.04-3.33, 6 Ga 3.05-3.10
7 Ga 0.1714 0.6714 0.5000  6 Cd 3.05-3.10, 2 Ga 3.33
8 Ga 0.3286 0.1714 0.5000  6 Cd 3.05-3.10, 2 Ga 3.33
9 Ga 0.6714 0.8286 0.5000  6 Cd 3.05-3.10, 2 Ga 3.33
10 Ga 0.8286 0.3286 0.5000  6 Cd 3.05-3.10, 2 Ga 3.33



9.
First-principles (PBE) data for a relaxed Tb2PmNd2 crystal, as listed in Alexandria.

Computed properties:
The energy comes out at -4.45 eV/atom. As for the space group: C2/c (15). As for the calculated density: 7.1 g cm⁻³. As for the volume: 350.6 Å³ per cell. The value obtained for the energy of formation from the pure elements is 0.263 eV/atom. The calculation puts the density of states at the Fermi level at 1.31 states/eV/atom.

Unit cell a=7.9651 b=7.9651 c=6.4220 alpha=100.47 beta=100.47 gamma=114.07
Last column: nearest neighbours and their distance in Å.
Positions (direct):
1 Tb 0.1803 0.8197 0.7500  1 Pm 3.33, 4 Nd 3.39-3.59, 2 Tb 3.60
2 Tb 0.3016 0.6984 0.2500  4 Nd 3.42-3.57, 2 Tb 3.60, 3 Pm 3.60-3.64
3 Tb 0.6984 0.3016 0.7500  4 Nd 3.42-3.57, 2 Tb 3.60, 3 Pm 3.60-3.64
4 Tb 0.8197 0.1803 0.2500  1 Pm 3.33, 4 Nd 3.39-3.59, 2 Tb 3.60
5 Pm 0.4292 0.5708 0.7500  4 Tb 3.33-3.64, 4 Nd 3.33-3.39
6 Pm 0.5708 0.4292 0.2500  4 Tb 3.33-3.64, 4 Nd 3.33-3.39
7 Nd 0.1152 0.2380 0.9202  1 Nd 3.11, 2 Pm 3.33-3.39, 2 Tb 3.39-3.42
8 Nd 0.2380 0.1152 0.4202  1 Nd 3.11, 2 Pm 3.33-3.39, 2 Tb 3.39-3.42
9 Nd 0.7620 0.8848 0.5798  1 Nd 3.11, 2 Pm 3.33-3.39, 2 Tb 3.39-3.42
10 Nd 0.8848 0.7620 0.0798  1 Nd 3.11, 2 Pm 3.33-3.39, 2 Tb 3.39-3.42



10.
First-principles (PBE) data for a relaxed Mg3MoPt crystal, as listed in Alexandria.

Computed properties:
The energy comes out at -3.85 eV/atom. As for the space group: Pm-3m (221). As for the calculated density: 5.0 g cm⁻³. As for the volume: 120.8 Å³ per cell. The value obtained for the energy of formation from the pure elements is 0.481 eV/atom. The calculation puts the density of states at the Fermi level at 0.41 states/eV/atom.

Unit cell a=4.9431 b=4.9431 c=4.9431 alpha=90.00 beta=90.00 gamma=90.00
Last column: nearest neighbours and their distance in Å.
Positions (direct):
1 Mg 0.0000 0.0000 0.5000  2 Pt 2.47
2 Mg 0.0000 0.5000 0.0000  2 Pt 2.47
3 Mg 0.5000 0.0000 0.0000  2 Pt 2.47
4 Mo 0.5000 0.5000 0.5000  12 Mg 3.50
5 Pt 0.0000 0.0000 0.0000  6 Mg 2.47



11.
First-principles (PBE) data for a relaxed TePbNF2 crystal, as listed in Alexandria.

Computed properties:
The energy comes out at -4.21 eV/atom. As for the space group: P4/mmm (123). As for the calculated density: 6.9 g cm⁻³. As for the volume: 92.7 Å³ per cell. The value obtained for the uncorrected formation energy is -0.43 eV per atom. The calculation puts the density of states at the Fermi level at 0.21 states/eV/atom.

Unit cell a=4.7141 b=4.7141 c=4.1725 alpha=90.00 beta=90.00 gamma=90.00
Last column: nearest neighbours and their distance in Å.
Positions (direct):
1 Te 0.0000 0.0000 0.0000  2 N 2.09
2 Pb 0.5000 0.5000 0.5000  8 F 3.15, 4 N 3.33
3 N 0.0000 0.0000 0.5000  2 Te 2.09
4 F 0.0000 0.5000 0.0000  2 Te 2.36
5 F 0.5000 0.0000 0.0000  2 Te 2.36



12.
First-principles (PBE) data for a relaxed MgAgSbTe2 crystal, as listed in Alexandria.

Computed properties:
The energy comes out at -2.49 eV/atom. As for the space group: P4/mmm (123). As for the calculated density: 5.2 g cm⁻³. As for the volume: 161.2 Å³ per cell. The value obtained for the uncorrected formation energy is 0.48 eV per atom. The calculation puts the density of states at the Fermi level at 0.90 states/eV/atom.

Unit cell a=5.5042 b=5.5042 c=5.3195 alpha=90.00 beta=90.00 gamma=90.00
Last column: nearest neighbours and their distance in Å.
Positions (direct):
1 Mg 0.0000 0.0000 0.0000  2 Sb 2.66, 4 Te 2.75
2 Ag 0.5000 0.5000 0.5000  8 Te 3.83, 4 Sb 3.89
3 Sb 0.0000 0.0000 0.5000  2 Mg 2.66
4 Te 0.0000 0.5000 0.0000  2 Mg 2.75
5 Te 0.5000 0.0000 0.0000  2 Mg 2.75